No. 1
Here is a relaxed structure of SmNbAsO from OQMD. Energies are from GGA-PBE.

Calculated values
Raw total energy, eV/cell: -54.7

Cell: 4.178 4.178 8.049 Å, 90.00 90.00 90.00°
Space group P4/nmm (No. 129, origin choice 2)
Asymmetric unit:
Sm 0.250 0.750 0.000
Nb 0.250 0.250 0.401
As 0.250 0.250 0.741
O 0.250 0.750 0.500

No. 2
Here is a relaxed structure of Lu2NiB4Ir4 from OQMD. Energies are from GGA-PBE.

Calculated values
Raw total energy, eV/cell: -337.0

Cell: 5.473 9.190 11.379 Å, 90.00 90.00 90.00°
Space group Fmmm (No. 69)
Asymmetric unit:
Lu 0.000 0.000 0.138
Ni 0.000 0.000 0.500
B 0.000 0.143 0.366
Ir 0.250 0.250 0.000
Ir 0.250 0.250 0.250

No. 3
Here is a relaxed structure of AlNiMo4C2 from OQMD. Energies are from GGA-PBE.

Calculated values
Raw total energy, eV/cell: -71.2

Cell: 3.0402 3.0402 13.0932 Å, 90.00 90.00 120.00°
Space group P-6m2 (No. 187)
Asymmetric unit:
Al 0.0000 0.0000 0.0000
Ni 0.3333 0.6667 0.5000
Mo 0.0000 0.0000 0.3463
Mo 0.3333 0.6667 0.1668
C 0.6667 0.3333 0.2564

No. 4
Here is a relaxed structure of KDyAsO from OQMD. Energies are from GGA-PBE.

Calculated values
Raw total energy, eV/cell: -43.4

Cell: 3.457 7.897 7.644 Å, 90.00 90.00 90.00°
Space group Pmc2_1 (No. 26)
Asymmetric unit:
K 0.000 0.043 0.000
Dy 0.500 0.371 0.348
As 0.500 0.289 0.717
O 0.000 0.242 0.272

No. 5
Here is a relaxed structure of CsTb2Cu3Te4Se from OQMD. Energies are from GGA-PBE.

Calculated values
Raw total energy, eV/cell: -188.9

Cell: 4.335 15.566 18.138 Å, 90.00 90.00 90.00°
Space group Cmcm (No. 63)
Asymmetric unit:
Cs 0.000 0.069 0.250
Tb 0.000 0.194 0.597
Cu 0.000 0.338 0.250
Cu 0.000 0.416 0.523
Te 0.000 0.164 0.070
Te 0.000 0.443 0.120
Se 0.000 0.238 0.750

No. 6
Here is a relaxed structure of RbHg3PbO4 from OQMD. Energies are from GGA-PBE.

Calculated values
Raw total energy, eV/cell: -28.3

Cell: 6.042 6.042 6.042 Å, 90.00 90.00 90.00°
Space group P-43m (No. 215)
Asymmetric unit:
Rb 0.000 0.000 0.000
Hg 0.000 0.500 0.500
Pb 0.500 0.500 0.500
O 0.293 0.293 0.293

> Among the records above, which one has the lowest raw total energy?

Lu2NiB4Ir4